Entry 1:
## Cs2RbZnCd (PBE)

Data for an optimized crystal structure of Cs2RbZnCd.

## Properties
* relative energy among the computed polymorphs: 0.106 eV/f.u.
* E_form: 0.6 eV per formula unit
* space group: P4/mmm (123)

Lattice parameters (Å, degrees): 7.8124 7.8124 5.2665 90.00 90.00 90.00
Closest atoms and distances in Å follow each position.
Sites, in units of the cell vectors:
Cs: 0.0000 0.5000 0.0000  2 Cd 3.91
Cs: 0.5000 0.0000 0.0000  2 Cd 3.91
Zn: 0.0000 0.0000 0.5000  2 Cd 2.63
Rb: 0.5000 0.5000 0.5000  8 Cs 4.71, 2 Rb 5.27
Cd: 0.0000 0.0000 0.0000  2 Zn 2.63

***

Entry 2:
## CsCd2Re (PBE)

Data for an optimized crystal structure of CsCd2Re.

## Properties
* E_form: 4.5 eV per formula unit
* space group: I-42d (122)

Lattice parameters (Å, degrees): 5.8924 5.8924 10.1396 73.11 73.11 90.00
Closest atoms and distances in Å follow each position.
Sites, in units of the cell vectors:
Cs: 0.5000 0.5000 0.0000  8 Cd 4.02-4.03, 4 Re 4.17
Cs: 0.2500 0.7500 0.5000  8 Cd 4.02-4.03, 4 Re 4.17
Re: 0.0000 0.0000 0.0000  4 Cd 2.74
Re: 0.7500 0.2500 0.5000  4 Cd 2.74
Cd: 0.8741 0.1250 0.2500  2 Re 2.74, 2 Cd 2.95
Cd: 0.8759 0.6250 0.2500  2 Re 2.74, 2 Cd 2.95
Cd: 0.3750 0.1259 0.7500  2 Re 2.74, 2 Cd 2.95
Cd: 0.8750 0.1241 0.7500  2 Re 2.74, 2 Cd 2.95

***

Entry 3:
## Cs2Cd4Rh (PBE)

Data for an optimized crystal structure of Cs2Cd4Rh.

## Properties
* E_form: -0.4 eV per formula unit
* space group: I4/mmm (139)

Lattice parameters (Å, degrees): 5.4048 5.4048 10.3938 74.93 74.93 90.00
Closest atoms and distances in Å follow each position.
Sites, in units of the cell vectors:
Cs: 0.3480 0.3480 0.3040  9 Cd 3.84-4.12
Cs: 0.6520 0.6520 0.6960  9 Cd 3.84-4.12
Rh: 0.0000 0.0000 0.0000  6 Cd 2.61-2.70
Cd: 0.1351 0.1351 0.7297  1 Rh 2.61
Cd: 0.8649 0.8649 0.2703  1 Rh 2.61
Cd: 0.0000 0.5000 0.0000  2 Rh 2.70
Cd: 0.5000 0.0000 0.0000  2 Rh 2.70